Record 1
5
Lattice="3.521 0.000 0.000 0.000 3.521 0.000 0.000 0.000 4.376" Properties=species:S:1:pos:R:3 comment="NiIrNF2, optimized geometry, DFT GGA-PBEsol" e_form_raw_ev_per_fu=2.6 total_energy_ev_per_atom=-5.146 pbc="T T T"
Ni 0.000 0.000 0.000
Ir 1.761 1.761 2.188
N 0.000 0.000 2.188
F 0.000 1.761 0.000
F 1.761 0.000 0.000

Record 2
10
Lattice="0.000 4.269 4.269 4.269 0.000 4.269 4.269 4.269 0.000" Properties=species:S:1:pos:R:3 comment="Ba2SmTaO6, optimized geometry, DFT GGA-PBEsol" e_form_raw_ev_per_fu=-31.4 total_energy_ev_per_atom=-8.479 pbc="T T T"
Ba 2.135 2.135 2.135
Ba 6.404 6.404 6.404
Sm 0.000 0.000 0.000
Ta 4.269 4.269 4.269
O 4.269 4.269 2.277
O 4.269 2.277 4.269
O 6.261 4.269 4.269
O 2.277 4.269 4.269
O 4.269 6.261 4.269
O 4.269 4.269 6.261

Record 3
4
Lattice="3.555 0.000 0.000 0.000 3.555 0.000 0.000 0.000 7.240" Properties=species:S:1:pos:R:3 comment="Zr2TlSe, optimized geometry, DFT GGA-PBEsol" e_form_raw_ev_per_fu=-2.3 total_energy_ev_per_atom=-6.745 pbc="T T T"
Zr 0.000 0.000 0.000
Zr 1.778 1.778 1.903
Tl 1.778 1.778 5.502
Se 0.000 0.000 2.863

Record 4
4
Lattice="3.988 0.000 0.000 0.000 3.988 0.000 0.000 0.000 7.152" Properties=species:S:1:pos:R:3 comment="SrIn2Sb, optimized geometry, DFT GGA-PBEsol" e_form_raw_ev_per_fu=-1.3 total_energy_ev_per_atom=-3.421 pbc="T T T"
Sr 0.000 0.000 0.000
In 1.994 1.994 2.091
In 1.994 1.994 5.061
Sb 0.000 0.000 3.576

Record 5
4
Lattice="4.198 0.000 0.000 0.000 4.198 0.000 0.000 0.000 4.468" Properties=species:S:1:pos:R:3 comment="ScTl2Ir, optimized geometry, DFT GGA-PBEsol" total_energy_ev_per_atom=-5.445 pbc="T T T"
Sc 0.000 0.000 0.000
Tl 0.000 2.099 2.234
Tl 2.099 0.000 2.234
Ir 2.099 2.099 0.000

Record 6
10
Lattice="8.367 0.000 0.000 0.000 8.367 0.000 0.000 0.000 3.146" Properties=species:S:1:pos:R:3 comment="Co2Bi2Sb, optimized geometry, DFT GGA-PBEsol" e_form_raw_ev_per_fu=3.1 total_energy_ev_per_atom=-5.102 pbc="T T T"
Co 0.776 3.407 0.000
Co 3.407 7.591 0.000
Co 4.960 0.776 0.000
Co 7.591 4.960 0.000
Bi 1.459 5.642 1.573
Bi 2.725 1.459 1.573
Bi 5.642 6.908 1.573
Bi 6.908 2.725 1.573
Sb 0.000 0.000 1.573
Sb 4.184 4.184 1.573

Record 7
4
Lattice="3.074 0.000 0.000 0.000 4.366 0.000 0.000 0.000 4.649" Properties=species:S:1:pos:R:3 comment="TlCuRe2, optimized geometry, DFT GGA-PBEsol" e_above_lowest_polymorph_ev_per_fu=0.60 total_energy_ev_per_atom=-7.613 pbc="T T T"
Tl 0.000 0.000 0.000
Cu 1.537 2.183 0.000
Re 0.000 2.183 2.324
Re 1.537 0.000 2.324

Record 8
4
Lattice="0.000 3.643 3.643 3.643 0.000 3.643 3.643 3.643 0.000" Properties=species:S:1:pos:R:3 comment="AgPb2Cl, optimized geometry, DFT GGA-PBEsol" e_form_raw_ev_per_fu=0.2 total_energy_ev_per_atom=-3.281 pbc="T T T"
Ag 0.000 0.000 0.000
Pb 3.643 3.643 3.643
Pb 5.465 5.465 5.465
Cl 1.822 1.822 1.822